Entry from Alexandria: a relaxed GeWF3 crystal (GGA+U).

Values from the calculation:
Calculated volume = 16.9 Å³/atom
VASP energy = -4.30 eV per atom
Theoretical density = 6.144 g/cm³

The structure in CIF format:
```
data_GeWF3
_cell_length_a 4.392
_cell_length_b 4.392
_cell_length_c 4.392
_cell_angle_alpha 90.00
_cell_angle_beta 90.00
_cell_angle_gamma 90.00
_symmetry_space_group_name_H-M 'P m -3 m'
_symmetry_Int_Tables_number 221
_symmetry_space_group_name_Hall '-P 4 2 3'
loop_
_atom_site_label
_atom_site_type_symbol
_atom_site_fract_x
_atom_site_fract_y
_atom_site_fract_z
_atom_site_occupancy
Ge1 Ge 0.000 0.000 0.000 1
W1 W 0.500 0.500 0.500 1
F1 F 0.000 0.000 0.500 1
```